FeCo4Hg | PBE-GGA | relaxed

Unit cell a=6.777 b=6.777 c=6.777 alpha=90.00 beta=90.00 gamma=90.00
Space group F-43m (No. 216)
Unique sites:
Fe: 0.000 0.000 0.000 x4
Co: 0.126 0.126 0.374 x16
Hg: 0.250 0.250 0.750 x4

Calculated values
- DFT formation energy (eV per atom) = 0.2533

***

FeCo2Hg | PBE-GGA | relaxed

Unit cell a=3.873 b=3.873 c=3.626 alpha=90.00 beta=90.00 gamma=90.00
Space group P4/mmm (No. 123)
Unique sites:
Fe: 0.000 0.000 0.000 x1
Co: 0.000 0.500 0.500 x2
Hg: 0.500 0.500 0.000 x1

Calculated values
- DFT formation energy (eV per atom) = 0.3328

***

Fe4CoHg | PBE-GGA | relaxed

Unit cell a=6.817 b=6.817 c=6.817 alpha=90.00 beta=90.00 gamma=90.00
Space group F-43m (No. 216)
Unique sites:
Fe: 0.125 0.125 0.125 x16
Co: 0.250 0.250 0.750 x4
Hg: 0.000 0.000 0.500 x4

Calculated values
- DFT formation energy (eV per atom) = 0.2978

***

- DFT formation energy of number 1 (FeCo4Hg)?
  0.2533 eV per atom